Compound: LaAlW3
Source: Alexandria
Functional: PBEsol
Structure: optimized geometry

Cell: 4.695 4.695 4.695 Å, 90.00 90.00 90.00°
Atoms (fractional coordinates):
W  0.500  0.000  0.000
W  0.000  0.500  0.000
W  0.000  0.000  0.500
Al  0.000  0.000  0.000
La  0.500  0.500  0.500

Output
Energy of formation   1.61 eV per atom
Volume   103.5 Å³/cell
Magnetization   0.000 μB per atom

Compound: LaAl2W
Source: Alexandria
Functional: PBEsol
Structure: optimized geometry

Cell: 2.959 2.959 10.202 Å, 81.66 81.66 60.00°
Atoms (fractional coordinates):
La  0.500  0.500  0.500
Al  0.738  0.738  0.786
Al  0.262  0.262  0.214
W  0.000  0.000  0.000

Output
Energy relative to the lowest polymorph listed for this composition   0.0000 eV/atom
Energy of formation   0.18 eV per atom
Volume   76.3 Å³/cell
Magnetization   0.000 μB per atom

Compound: LaAlW2
Source: Alexandria
Functional: PBEsol
Structure: optimized geometry

Cell: 3.349 4.669 4.782 Å, 90.00 90.00 90.00°
Atoms (fractional coordinates):
Al  0.500  0.500  0.000
La  0.000  0.500  0.500
W  0.000  0.000  0.000
W  0.500  0.000  0.500

Output
Energy of formation   0.74 eV per atom
Volume   74.8 Å³/cell
Magnetization   0.000 μB per atom

Values for N(E_F), states/eV/cell, ordered as above
5.95, 3.11, 4.12
Values for raw total energy, eV/atom, ordered as above
-8.56, -6.65, -8.52